Below is a relaxed KAcCuO4 crystal, with properties calculated at the GGA-PBE level.

Unit cell a=6.240 b=5.182 c=7.919 alpha=90.00 beta=102.48 gamma=90.00
Site moments in Bohr magnetons follow the coordinates.
Atoms (fractional coordinates):
O: 0.374 0.750 0.523  0.36
O: 0.987 0.999 0.712  0.14
O: 0.557 0.250 0.827  0.31
K: 0.732 0.750 0.961  0.00
K: 0.268 0.250 0.039  0.00
Cu: 0.783 0.250 0.718  0.60
O: 0.987 0.501 0.712  0.14
O: 0.013 0.001 0.288  0.14
O: 0.626 0.250 0.477  0.36
Cu: 0.217 0.750 0.282  0.60
Ac: 0.749 0.750 0.444  0.00
O: 0.443 0.750 0.173  0.31
Ac: 0.251 0.250 0.556  0.00
O: 0.013 0.499 0.288  0.14

## Properties
raw total energy: -5.713 eV per atom
density of states at the Fermi level: 7.1 states/eV per cell
formation energy (no corrections): -1.551 eV/atom



Below is a relaxed La2YTm3As6 crystal, with properties calculated at the GGA-PBE level.

Unit cell a=4.185 b=8.358 c=9.342 alpha=102.85 beta=102.94 gamma=90.00
Atoms (fractional coordinates):
As: 0.996 0.250 0.991
Tm: 0.500 0.500 0.000
As: 0.337 0.407 0.674
As: 0.333 0.929 0.666
La: 0.165 0.331 0.330
La: 0.835 0.669 0.670
Tm: 0.167 0.834 0.334
Y: 0.500 0.000 0.000
As: 0.667 0.071 0.334
As: 0.004 0.750 0.009
Tm: 0.833 0.166 0.666
As: 0.663 0.593 0.326

## Properties
raw total energy: -6.320 eV per atom
density of states at the Fermi level: 1.7 states/eV per cell
E_form: -18.21 eV/f.u.



Below is a relaxed Pr7YHo12 crystal, with properties calculated at the GGA-PBE level.

Unit cell a=8.818 b=8.818 c=8.818 alpha=85.92 beta=85.92 gamma=85.92
Atoms (fractional coordinates):
Pr: 0.602 0.920 0.843
Ho: 0.617 0.135 0.497
Ho: 0.727 0.855 0.253
Ho: 0.383 0.865 0.503
Ho: 0.503 0.383 0.865
Pr: 0.080 0.157 0.398
Y: 0.000 0.000 0.000
Ho: 0.273 0.145 0.747
Ho: 0.253 0.727 0.855
Ho: 0.135 0.497 0.617
Pr: 0.843 0.602 0.920
Ho: 0.145 0.747 0.273
Pr: 0.920 0.843 0.602
Ho: 0.865 0.503 0.383
Pr: 0.500 0.500 0.500
Ho: 0.747 0.273 0.145
Ho: 0.855 0.253 0.727
Ho: 0.497 0.617 0.135
Pr: 0.398 0.080 0.157
Pr: 0.157 0.398 0.080

## Properties
raw total energy: -4.515 eV per atom
density of states at the Fermi level: 36.4 states/eV per cell
energy above the most stable polymorph in this dataset: 0 meV per atom
E_form: 4.56 eV/f.u.



In μB per cell, the M_tot values for the records above are, in order, 3.5; 0.0; 0.0.